No. 1
DFT (PBE) results for a relaxed KZnAu2 crystal.

Cell lengths 4.345, 5.889, 8.015 Å; angles 90.00, 90.00, 90.00 degrees
Space group Immm (No. 71)
Symmetry-distinct sites (fractional):
K1 0.000 0.000 0.000 [2 per cell]
Zn1 0.000 0.000 0.500 [2 per cell]
Au1 0.000 0.500 0.184 [4 per cell]

VASP energy = -2.28 eV/atom
Crystal system = orthorhombic

No. 2
DFT (PBE) results for a relaxed Tb3CeSm4S8 crystal.

Cell lengths 7.9588, 7.9588, 19.4952 Å; angles 90.00, 90.00, 120.00 degrees
Space group R-3m (No. 166, hexagonal axes)
Symmetry-distinct sites (fractional):
Tb1 0.0000 0.5000 0.0000 [9 per cell]
Ce1 0.0000 0.0000 0.0000 [3 per cell]
Sm1 0.0000 0.0000 0.5000 [3 per cell]
Sm2 0.0000 0.5000 0.5000 [9 per cell]
S1 0.0000 0.0000 0.2526 [6 per cell]
S2 0.0032 0.5016 0.2518 [18 per cell]

Crystal system = trigonal
Raw formation energy = -32.4 eV/f.u.

No. 3
DFT (PBE) results for a relaxed AcLaCd crystal.

Cell lengths 4.002, 4.002, 13.252 Å; angles 90.00, 90.00, 90.00 degrees
Space group I4mm (No. 107)
Symmetry-distinct sites (fractional):
Ac1 0.000 0.000 0.000 [2 per cell]
La1 0.000 0.000 0.300 [2 per cell]
Cd1 0.000 0.000 0.660 [2 per cell]

Crystal system = tetragonal
Relative energy among the computed polymorphs = 9.7 meV per atom